1.
SiMo2W | Alexandria via LeMat-Bulk | PBE | optimized geometry; V = 60 Å³/f.u.; energy relative to the lowest polymorph listed for this composition = 0.0 meV/atom; total magnetization = 0.0 μB per formula unit
1.0
-1.5918 2.1330 4.4191
1.5918 -2.1330 4.4191
1.5918 2.1330 -4.4191
Si Mo W
1 2 1
Direct
0.0000 0.0000 0.0000 Si
0.2516 0.7516 0.5000 Mo
0.5003 0.5003 0.0000 Mo
0.7482 0.2482 0.5000 W


2.
SiMoW3 | Alexandria via LeMat-Bulk | PBE | optimized geometry; V = 106 Å³/f.u.; energy relative to the lowest polymorph listed for this composition = 974.6 meV/atom; total magnetization = 0.0 μB per formula unit
1.0
4.7315 0.0000 0.0000
0.0000 4.7315 0.0000
0.0000 0.0000 4.7315
Si Mo W
1 1 3
Direct
0.0000 0.0000 0.0000 Si
0.5000 0.5000 0.5000 Mo
0.0000 0.5000 0.5000 W
0.5000 0.0000 0.5000 W
0.5000 0.5000 0.0000 W


3.
Si2MoW | Alexandria via LeMat-Bulk | PBE | optimized geometry; V = 60 Å³/f.u.; energy relative to the lowest polymorph listed for this composition = 634.3 meV/atom; total magnetization = 0.0 μB per formula unit
1.0
2.6843 0.0000 0.0000
0.0000 2.6843 0.0000
0.0000 0.0000 8.2987
Si Mo W
2 1 1
Direct
0.0000 0.0000 0.0000 Si
0.5000 0.5000 0.2505 Si
0.5000 0.5000 0.7633 Mo
0.0000 0.0000 0.4893 W